(P)
Entry from Alexandria via LeMat-Bulk: a relaxed Pr2YCo crystal (PBE).

Unit cell a=7.1159 b=10.0164 c=6.3056 alpha=90.00 beta=90.00 gamma=90.00
Sites, in units of the cell vectors:
Pr  0.1751  0.0706  0.1751
Pr  0.1751  0.4294  0.1751
Pr  0.3249  0.5706  0.6751
Pr  0.3249  0.9294  0.6751
Pr  0.6751  0.0706  0.3249
Pr  0.6751  0.4294  0.3249
Pr  0.8249  0.5706  0.8249
Pr  0.8249  0.9294  0.8249
Y  0.0431  0.2500  0.6559
Y  0.4569  0.7500  0.1559
Y  0.5431  0.2500  0.8441
Y  0.9569  0.7500  0.3441
Co  0.1172  0.7500  0.9455
Co  0.3828  0.2500  0.4455
Co  0.6172  0.7500  0.5545
Co  0.8828  0.2500  0.0545

- N(E_F) (states/eV/atom) = 1.2989

(Q)
Entry from Alexandria via LeMat-Bulk: a relaxed Pr2YCo crystal (PBE).

Unit cell a=3.5679 b=3.5679 c=8.9368 alpha=90.00 beta=90.00 gamma=90.00
Sites, in units of the cell vectors:
Pr  0.0000  0.0000  0.1910
Pr  0.0000  0.0000  0.8090
Y  0.5000  0.5000  0.5000
Co  0.5000  0.5000  0.0000

- N(E_F) (states/eV/atom) = 1.3001

Which of them is the least stable? Correct choice: (Q).

(P)
Entry from Alexandria via LeMat-Bulk: a relaxed PrY2Co crystal (PBE).

Unit cell a=9.3876 b=9.3876 c=9.3876 alpha=23.49 beta=23.49 gamma=23.49
Sites, in units of the cell vectors:
Pr  0.0000  0.0000  0.0000
Y  0.2236  0.2236  0.2236
Y  0.4469  0.4469  0.4469
Co  0.8352  0.8352  0.8352

- N(E_F) (states/eV/atom) = 1.1974

(Q)
Entry from Alexandria via LeMat-Bulk: a relaxed PrY2Co crystal (PBE).

Unit cell a=9.6078 b=9.6078 c=9.6078 alpha=22.60 beta=22.60 gamma=22.60
Sites, in units of the cell vectors:
Pr  0.0000  0.0000  0.0000
Y  0.2219  0.2219  0.2219
Y  0.7781  0.7781  0.7781
Co  0.5000  0.5000  0.5000

- N(E_F) (states/eV/atom) = 1.0648

Which of them is the least stable? Correct choice: (Q).

(P)
Entry from Alexandria via LeMat-Bulk: a relaxed PrY2Co crystal (PBE).

Unit cell a=7.0258 b=9.5802 c=6.4231 alpha=90.00 beta=90.00 gamma=90.00
Sites, in units of the cell vectors:
Pr  0.0461  0.2500  0.1414
Pr  0.4539  0.7500  0.6414
Pr  0.5461  0.2500  0.3586
Pr  0.9539  0.7500  0.8586
Y  0.1703  0.0696  0.6769
Y  0.1703  0.4304  0.6769
Y  0.3297  0.5696  0.1769
Y  0.3297  0.9304  0.1769
Y  0.6703  0.0696  0.8231
Y  0.6703  0.4304  0.8231
Y  0.8297  0.5696  0.3231
Y  0.8297  0.9304  0.3231
Co  0.1148  0.7500  0.4443
Co  0.3852  0.2500  0.9443
Co  0.6148  0.7500  0.0557
Co  0.8852  0.2500  0.5557

- N(E_F) (states/eV/atom) = 1.1728

(Q)
Entry from Alexandria via LeMat-Bulk: a relaxed PrY2Co crystal (PBE).

Unit cell a=3.4355 b=3.4355 c=9.0448 alpha=90.00 beta=90.00 gamma=90.00
Sites, in units of the cell vectors:
Pr  0.0000  0.0000  0.0000
Y  0.5000  0.5000  0.3214
Y  0.5000  0.5000  0.6786
Co  0.0000  0.0000  0.5000

- N(E_F) (states/eV/atom) = 0.9533

(R)
Entry from Alexandria via LeMat-Bulk: a relaxed PrY2Co crystal (PBE).

Unit cell a=6.4292 b=6.4292 c=9.6177 alpha=90.00 beta=90.00 gamma=146.81
Sites, in units of the cell vectors:
Pr  0.0843  0.9157  0.7500
Pr  0.9157  0.0843  0.2500
Y  0.3579  0.6421  0.5738
Y  0.3579  0.6421  0.9262
Y  0.6421  0.3579  0.0738
Y  0.6421  0.3579  0.4262
Co  0.2454  0.7546  0.2500
Co  0.7546  0.2454  0.7500

- N(E_F) (states/eV/atom) = 1.2760

Which of them is the least stable? Correct choice: (Q).

(P)
Entry from Alexandria via LeMat-Bulk: a relaxed PrZn9Co2 crystal (PBE).

Unit cell a=7.9553 b=7.9553 c=3.6609 alpha=90.00 beta=90.00 gamma=120.00
Sites, in units of the cell vectors:
Pr  0.0000  0.0000  0.0000
Zn  0.0000  0.5000  0.0000
Zn  0.2041  0.4082  0.5000
Zn  0.2041  0.7959  0.5000
Zn  0.4082  0.2041  0.5000
Zn  0.5000  0.0000  0.0000
Zn  0.5000  0.5000  0.0000
Zn  0.5918  0.7959  0.5000
Zn  0.7959  0.2041  0.5000
Zn  0.7959  0.5918  0.5000
Co  0.3333  0.6667  0.0000
Co  0.6667  0.3333  0.0000

- N(E_F) (states/eV/atom) = 0.6010

(Q)
Entry from Alexandria via LeMat-Bulk: a relaxed PrZn9Co2 crystal (PBE).

Unit cell a=8.1078 b=8.1078 c=8.1078 alpha=100.18 beta=100.18 gamma=130.28
Sites, in units of the cell vectors:
Pr  0.3750  0.6250  0.7500
Pr  0.6250  0.3750  0.2500
Zn  0.1250  0.8750  0.2500
Zn  0.1441  0.5680  0.3319
Zn  0.1441  0.8123  0.5761
Zn  0.1877  0.2638  0.3319
Zn  0.1877  0.8559  0.9239
Zn  0.2638  0.1877  0.8319
Zn  0.2638  0.4320  0.0761
Zn  0.4320  0.2638  0.5761
Zn  0.4320  0.8559  0.1681
Zn  0.5680  0.1441  0.8319
Zn  0.5680  0.7362  0.4239
Zn  0.7362  0.5680  0.9239
Zn  0.7362  0.8123  0.1681
Zn  0.8123  0.1441  0.0761
Zn  0.8123  0.7362  0.6681
Zn  0.8559  0.1877  0.4239
Zn  0.8559  0.4320  0.6681
Zn  0.8750  0.1250  0.7500
Co  0.0000  0.0000  0.0000
Co  0.0000  0.0000  0.5000
Co  0.0000  0.5000  0.0000
Co  0.5000  0.0000  0.5000

- N(E_F) (states/eV/atom) = 0.7313

Which of them is the least stable? Correct choice: (P).

(P)
Entry from Alexandria via LeMat-Bulk: a relaxed Pr3ZnCo crystal (PBE).

Unit cell a=6.2156 b=6.2156 c=8.6969 alpha=112.30 beta=112.30 gamma=62.75
Sites, in units of the cell vectors:
Pr  0.0261  0.0261  0.2249
Pr  0.2947  0.2947  0.6736
Pr  0.3153  0.3153  0.1295
Pr  0.6847  0.6847  0.8705
Pr  0.7053  0.7053  0.3264
Pr  0.9739  0.9739  0.7751
Zn  0.2954  0.7046  0.5000
Zn  0.7046  0.2954  0.5000
Co  0.3180  0.6820  0.0000
Co  0.6820  0.3180  0.0000

- N(E_F) (states/eV/atom) = 1.2132

(Q)
Entry from Alexandria via LeMat-Bulk: a relaxed Pr3ZnCo crystal (PBE).

Unit cell a=3.8305 b=8.4338 c=8.5678 alpha=92.15 beta=90.05 gamma=103.12
Sites, in units of the cell vectors:
Pr  0.0522  0.1050  0.3026
Pr  0.2452  0.4928  0.6994
Pr  0.3972  0.7941  0.0469
Pr  0.6028  0.2059  0.9531
Pr  0.7548  0.5072  0.3006
Pr  0.9478  0.8950  0.6974
Zn  0.4034  0.8074  0.4221
Zn  0.5966  0.1926  0.5779
Co  0.2203  0.4408  0.0574
Co  0.7797  0.5592  0.9426

- N(E_F) (states/eV/atom) = 1.0905

(R)
Entry from Alexandria via LeMat-Bulk: a relaxed Pr3ZnCo crystal (PBE).

Unit cell a=5.3067 b=5.3067 c=5.3067 alpha=90.00 beta=90.00 gamma=90.00
Sites, in units of the cell vectors:
Pr  0.0000  0.0000  0.5000
Pr  0.0000  0.5000  0.0000
Pr  0.5000  0.0000  0.0000
Zn  0.5000  0.5000  0.5000
Co  0.0000  0.0000  0.0000

- N(E_F) (states/eV/atom) = 0.8673

Which of them is the least stable? Correct choice: (R).

(P)
Entry from Alexandria via LeMat-Bulk: a relaxed Pr8Zn2Co crystal (PBE).

Unit cell a=8.8413 b=8.8413 c=8.8413 alpha=146.95 beta=119.87 gamma=70.35
Sites, in units of the cell vectors:
Pr  0.1181  0.3421  0.7760
Pr  0.1224  0.1224  0.0000
Pr  0.3344  0.0000  0.3344
Pr  0.4339  0.6579  0.7760
Pr  0.5661  0.3421  0.2240
Pr  0.6656  0.0000  0.6656
Pr  0.8776  0.8776  0.0000
Pr  0.8819  0.6579  0.2240
Zn  0.3003  0.8003  0.5000
Zn  0.6997  0.1997  0.5000
Co  0.0000  0.5000  0.5000

- N(E_F) (states/eV/atom) = 1.1471

(Q)
Entry from Alexandria via LeMat-Bulk: a relaxed Pr8Zn2Co crystal (PBE).

Unit cell a=9.4313 b=9.4313 c=6.9301 alpha=100.06 beta=100.06 gamma=32.22
Sites, in units of the cell vectors:
Pr  0.0251  0.0251  0.2819
Pr  0.2024  0.2024  0.8142
Pr  0.3477  0.3477  0.5401
Pr  0.4105  0.4105  0.0613
Pr  0.5895  0.5895  0.9387
Pr  0.6523  0.6523  0.4599
Pr  0.7976  0.7976  0.1858
Pr  0.9749  0.9749  0.7181
Zn  0.1942  0.1942  0.2454
Zn  0.8058  0.8058  0.7546
Co  0.5000  0.5000  0.5000

- N(E_F) (states/eV/atom) = 1.0483

Which of them is the least stable? Correct choice: (P).

(P)
Entry from Alexandria via LeMat-Bulk: a relaxed CoPt4 crystal (PBE).

Unit cell a=4.7843 b=4.7843 c=4.7843 alpha=99.60 beta=99.60 gamma=131.80
Sites, in units of the cell vectors:
Co  0.0000  0.0000  0.0000
Pt  0.2030  0.3965  0.5996
Pt  0.3965  0.7970  0.1935
Pt  0.6035  0.2030  0.8065
Pt  0.7970  0.6035  0.4004

- N(E_F) (states/eV/atom) = 1.4446

(Q)
Entry from Alexandria via LeMat-Bulk: a relaxed CoPt4 crystal (PBE).

Unit cell a=11.4009 b=11.4009 c=11.4009 alpha=13.91 beta=13.91 gamma=13.91
Sites, in units of the cell vectors:
Co  0.0000  0.0000  0.0000
Pt  0.2016  0.2016  0.2016
Pt  0.3946  0.3946  0.3946
Pt  0.6054  0.6054  0.6054
Pt  0.7984  0.7984  0.7984

- N(E_F) (states/eV/atom) = 1.4313

Which of them is the least stable? Correct choice: (Q).

(P)
Entry from Alexandria via LeMat-Bulk: a relaxed CoPt4 crystal (PBE).

Unit cell a=4.8234 b=4.8234 c=4.8234 alpha=109.47 beta=109.47 gamma=109.47
Sites, in units of the cell vectors:
Co  0.0000  0.0000  0.0000
Pt  0.0000  0.0000  0.5000
Pt  0.0000  0.5000  0.0000
Pt  0.5000  0.0000  0.0000
Pt  0.5000  0.5000  0.5000

- N(E_F) (states/eV/atom) = 1.3948

(Q)
Entry from Alexandria via LeMat-Bulk: a relaxed CoPt4 crystal (PBE).

Unit cell a=7.0424 b=7.0424 c=7.0424 alpha=150.15 beta=150.15 gamma=42.71
Sites, in units of the cell vectors:
Co  0.0000  0.0000  0.0000
Pt  0.2500  0.7500  0.5000
Pt  0.4050  0.4050  0.0000
Pt  0.5950  0.5950  0.0000
Pt  0.7500  0.2500  0.5000

- N(E_F) (states/eV/atom) = 2.5444

Which of them is the least stable? Correct choice: (Q).

(P)
Entry from Alexandria via LeMat-Bulk: a relaxed CoPt4 crystal (PBE).

Unit cell a=10.0139 b=10.0139 c=10.0139 alpha=164.24 beta=164.24 gamma=22.36
Sites, in units of the cell vectors:
Co  0.0000  0.0000  0.0000
Pt  0.1973  0.1973  0.0000
Pt  0.4090  0.4090  0.0000
Pt  0.5910  0.5910  0.0000
Pt  0.8027  0.8027  0.0000

- N(E_F) (states/eV/atom) = 1.2403

(Q)
Entry from Alexandria via LeMat-Bulk: a relaxed CoPt4 crystal (PBE).

Unit cell a=4.4969 b=4.4969 c=4.4969 alpha=90.00 beta=90.00 gamma=90.00
Sites, in units of the cell vectors:
Co  0.0000  0.0000  0.0000
Pt  0.0000  0.0000  0.5000
Pt  0.0000  0.5000  0.0000
Pt  0.5000  0.0000  0.0000
Pt  0.5000  0.5000  0.5000

- N(E_F) (states/eV/atom) = 1.0042

Which of them is the least stable? Correct choice: (Q).

(P)
Entry from Alexandria via LeMat-Bulk: a relaxed Co3Pt7 crystal (PBE).

Unit cell a=8.1770 b=8.1770 c=5.3759 alpha=90.00 beta=90.00 gamma=121.75
Sites, in units of the cell vectors:
Co  0.2019  0.4110  0.4704
Co  0.2099  0.7901  0.5000
Co  0.4110  0.2019  0.9704
Co  0.5890  0.7981  0.4704
Co  0.7901  0.2099  0.0000
Co  0.7981  0.5890  0.9704
Pt  0.0582  0.5385  0.1494
Pt  0.1046  0.8954  0.0886
Pt  0.1134  0.2331  0.0399
Pt  0.2331  0.1134  0.5399
Pt  0.3397  0.6603  0.8163
Pt  0.4615  0.9418  0.1494
Pt  0.4777  0.5223  0.1523
Pt  0.5223  0.4777  0.6523
Pt  0.5385  0.0582  0.6494
Pt  0.6603  0.3397  0.3163
Pt  0.7669  0.8866  0.0399
Pt  0.8866  0.7669  0.5399
Pt  0.8954  0.1046  0.5886
Pt  0.9418  0.4615  0.6494

- N(E_F) (states/eV/atom) = 1.2972

(Q)
Entry from Alexandria via LeMat-Bulk: a relaxed Co3Pt7 crystal (PBE).

Unit cell a=7.2454 b=7.2454 c=5.4812 alpha=100.95 beta=100.95 gamma=30.86
Sites, in units of the cell vectors:
Co  0.0000  0.0000  0.0000
Co  0.2045  0.2045  0.5947
Co  0.7955  0.7955  0.4053
Pt  0.0000  0.0000  0.5000
Pt  0.2012  0.2012  0.1082
Pt  0.3962  0.3962  0.6939
Pt  0.4014  0.4014  0.1974
Pt  0.5986  0.5986  0.8026
Pt  0.6038  0.6038  0.3061
Pt  0.7988  0.7988  0.8918

- N(E_F) (states/eV/atom) = 1.2777

Which of them is the least stable? Correct choice: (P).